Entry 1:
Compound: NaSc2Br6
Source: the Alexandria database
Functional: PBE
Structure: optimized geometry

Calculated values
Uncorrected formation energy   -1607 meV per atom
Density of states at the Fermi level   5.98 states/eV/cell

Unit cell a=6.8477 b=6.8477 c=6.8098 alpha=90.00 beta=90.00 gamma=120.00
Space group P-31m (No. 162)
Unique sites:
Na 0.0000 0.0000 0.0000 [1 per cell]
Sc 0.3333 0.6667 0.5000 [2 per cell]
Br 0.0000 0.3547 0.2692 [6 per cell]

***

Entry 2:
Compound: Na3ScBr
Source: the Alexandria database
Functional: PBE
Structure: optimized geometry

Calculated values
Uncorrected formation energy   0 meV per atom
Density of states at the Fermi level   5.99 states/eV/cell

Unit cell a=5.655 b=5.655 c=5.655 alpha=90.00 beta=90.00 gamma=90.00
Space group Pm-3m (No. 221)
Unique sites:
Na 0.000 0.000 0.500 [3 per cell]
Sc 0.500 0.500 0.500 [1 per cell]
Br 0.000 0.000 0.000 [1 per cell]

***

Entry 3:
Compound: NaSc2Br
Source: the Alexandria database
Functional: PBE
Structure: optimized geometry

Calculated values
Uncorrected formation energy   21 meV per atom
Density of states at the Fermi level   14.28 states/eV/cell

Unit cell a=8.464 b=8.464 c=6.143 alpha=90.00 beta=90.00 gamma=90.00
Space group I-42d (No. 122)
Unique sites:
Na 0.000 0.000 0.000 [4 per cell]
Sc 0.174 0.250 0.625 [8 per cell]
Br 0.000 0.000 0.500 [4 per cell]

***

Calculated volume
In order: 30.7, 36.2, 27.5
Unit: A^3/atom
DFT total energy
In order: -4.28, -2.39, -3.89
Unit: eV/atom